MnSeOF2 | PBE+U | relaxed

Polymorph energy (0 for the lowest one)   374 meV/atom

a b c (Å): 4.6283 4.6283 3.7953
angles (deg): 90.00 90.00 90.00
Space group P4/mmm (No. 123)
Asymmetric unit:
Mn: 0.0000 0.0000 0.0000 [1 per cell]
Se: 0.5000 0.5000 0.5000 [1 per cell]
O: 0.5000 0.5000 0.0000 [1 per cell]
F: 0.0000 0.5000 0.5000 [2 per cell]